A plane-wave DFT calculation with PBE-GGA was carried out for a relaxed structure of Fe4CoH3.

Results
**DOS(E_F)**: 22.879 states/eV per cell
**Total energy**: -50.9 eV/f.u.
**Crystal system**: monoclinic

abc: 8.9488 4.4726 6.7477
angles: 90.00 112.82 90.00
With the nearest neighbours (Å) after each atom.
Space group Cc (No. 9)
Unique sites:
Fe  0.0000  0.1641  0.0000 [4 per cell]  4 H 1.84-1.89
Fe  0.1024  0.3309  0.6994 [4 per cell]  4 H 1.83-1.88
Fe  0.2016  0.1676  0.3971 [4 per cell]  3 H 1.81-1.87
Fe  0.3924  0.1708  0.7970 [4 per cell]  4 H 1.84-1.96
Co  0.2982  0.3318  0.1009 [4 per cell]  3 H 1.78-1.83
H  0.1068  0.4948  0.9495 [4 per cell]  1 Co 1.78, 5 Fe 1.83-1.96
H  0.3954  0.0040  0.0518 [4 per cell]  1 Co 1.80, 5 Fe 1.81-1.89
H  0.4978  0.4969  0.2477 [4 per cell]  1 Co 1.83, 5 Fe 1.84-1.87